Entry 1:
The following is a DFT calculation (PBE-GGA) of a relaxed structure of CsTcP2O.

Cell: 4.135 4.135 5.216 Å, 90.00 90.00 90.00°
Atoms (fractional coordinates):
1 Cs 0.000 0.000 0.000
2 Tc 0.500 0.500 0.000
3 P 0.000 0.500 0.500
4 P 0.500 0.000 0.500
5 O 0.000 0.000 0.500

formation energy (no corrections)	522	kJ/mol of formula units
E above lowest polymorph	1097	meV per atom

=====

Entry 2:
The following is a DFT calculation (PBE-GGA) of a relaxed structure of OsPbSe2.

Cell: 3.118 3.118 8.833 Å, 90.00 90.00 90.00°
Atoms (fractional coordinates):
1 Os 0.000 0.000 0.000
2 Pb 0.000 0.000 0.500
3 Se 0.500 0.500 0.175
4 Se 0.500 0.500 0.825

formation energy (no corrections)	137	kJ/mol of formula units

=====

Entry 3:
The following is a DFT calculation (PBE-GGA) of a relaxed structure of AcPu2Hg.

Cell: 3.938 3.938 7.997 Å, 90.00 90.00 90.00°
Atoms (fractional coordinates):
1 Ac 0.000 0.000 0.000
2 Pu 0.500 0.500 0.296
3 Pu 0.500 0.500 0.704
4 Hg 0.000 0.000 0.500

E_form	109	meV per atom
E above lowest polymorph	55	meV per atom